A plane-wave DFT calculation with PBE-GGA was carried out for crystalline MgSnHg2Bi at its relaxed geometry.

Calculated values
DOS(E_F) (states/eV/atom): 0.615
Energy above the most stable polymorph in this dataset (eV per formula unit): 1.57
E_form (meV/atom): 288
Symmetry: P4/mmm, No. 123

Lattice parameters (Å, degrees): 5.243 5.243 5.642 90.00 90.00 90.00
Fractional coordinates of all 5 atoms:
Mg (0.000, 0.000, 0.000)
Sn (0.000, 0.000, 0.500)
Hg (0.000, 0.500, 0.000)
Hg (0.500, 0.000, 0.000)
Bi (0.500, 0.500, 0.500)

=====

A plane-wave DFT calculation with PBE-GGA was carried out for crystalline La6NdNi3 at its relaxed geometry.

Calculated values
DOS(E_F) (states/eV/atom): 1.157
E_form (meV/atom): -170
Symmetry: Cmc2_1, No. 36

Lattice parameters (Å, degrees): 8.898 8.898 7.369 90.00 90.00 99.49
Fractional coordinates of all 20 atoms:
La (0.032, 0.413, 0.659)
La (0.035, 0.965, 0.500)
La (0.225, 0.775, 0.841)
La (0.291, 0.377, 0.021)
La (0.377, 0.291, 0.521)
La (0.413, 0.032, 0.159)
La (0.587, 0.968, 0.659)
La (0.623, 0.709, 0.021)
La (0.709, 0.623, 0.521)
La (0.775, 0.225, 0.341)
La (0.965, 0.035, 0.000)
La (0.968, 0.587, 0.159)
Nd (0.327, 0.673, 0.386)
Nd (0.673, 0.327, 0.886)
Ni (0.099, 0.289, 0.313)
Ni (0.289, 0.099, 0.813)
Ni (0.421, 0.579, 0.719)
Ni (0.579, 0.421, 0.219)
Ni (0.711, 0.901, 0.313)
Ni (0.901, 0.711, 0.813)

=====

A plane-wave DFT calculation with PBE-GGA was carried out for crystalline BaMn2Rh3S8 at its relaxed geometry.

Calculated values
DOS(E_F) (states/eV/atom): 0.366
Formation energy (no corrections) (eV/atom): -0.578
Symmetry: R3m, No. 160

Lattice parameters (Å, degrees): 7.235 7.235 7.235 62.80 62.80 62.80
Fractional coordinates of all 14 atoms:
Ba (0.000, 0.000, 0.000)
Mn (0.187, 0.187, 0.187)
Mn (0.535, 0.535, 0.535)
Rh (0.036, 0.558, 0.558)
Rh (0.558, 0.036, 0.558)
Rh (0.558, 0.558, 0.036)
S (0.305, 0.305, 0.777)
S (0.305, 0.777, 0.305)
S (0.321, 0.321, 0.321)
S (0.387, 0.760, 0.760)
S (0.760, 0.387, 0.760)
S (0.760, 0.760, 0.387)
S (0.777, 0.305, 0.305)
S (0.785, 0.785, 0.785)

=====

A plane-wave DFT calculation with PBE-GGA was carried out for crystalline LiOsRh at its relaxed geometry.

Calculated values
DOS(E_F) (states/eV/atom): 0.657
Energy above the most stable polymorph in this dataset (eV per formula unit): 0.74
E_form (meV/atom): 238
Symmetry: P-6m2, No. 187

Lattice parameters (Å, degrees): 4.382 4.382 2.573 90.00 90.00 120.00
Fractional coordinates of all 3 atoms:
Li (0.000, 0.000, 0.000)
Os (0.667, 0.333, 0.500)
Rh (0.333, 0.667, 0.500)

=====

A plane-wave DFT calculation with PBE-GGA was carried out for crystalline Pm8Tc2Ag at its relaxed geometry.

Calculated values
DOS(E_F) (states/eV/atom): 1.166
E_form (meV/atom): 41
Symmetry: Cm, No. 8

Lattice parameters (Å, degrees): 7.915 7.915 5.829 98.96 98.96 112.27
Fractional coordinates of all 11 atoms:
Pm (0.000, 0.000, 0.000)
Pm (0.047, 0.309, 0.611)
Pm (0.139, 0.613, 0.201)
Pm (0.309, 0.047, 0.611)
Pm (0.447, 0.708, 0.789)
Pm (0.613, 0.139, 0.201)
Pm (0.708, 0.447, 0.789)
Pm (0.761, 0.761, 0.405)
Tc (0.071, 0.690, 0.704)
Tc (0.690, 0.071, 0.704)
Ag (0.381, 0.381, 0.206)

=====

A plane-wave DFT calculation with PBE-GGA was carried out for crystalline K3Np2CdS6 at its relaxed geometry.

Calculated values
DOS(E_F) (states/eV/atom): 1.439
Formation energy (no corrections) (eV/atom): -1.237
Symmetry: C2/m, No. 12

Lattice parameters (Å, degrees): 7.012 7.012 7.725 98.66 98.66 119.98
Fractional coordinates of all 12 atoms:
K (0.000, 0.000, 0.000)
K (0.338, 0.662, 0.000)
K (0.662, 0.338, 0.000)
Np (0.167, 0.833, 0.500)
Np (0.833, 0.167, 0.500)
Cd (0.500, 0.500, 0.500)
S (0.090, 0.432, 0.298)
S (0.225, 0.225, 0.701)
S (0.432, 0.090, 0.298)
S (0.568, 0.910, 0.702)
S (0.775, 0.775, 0.299)
S (0.910, 0.568, 0.702)

=====

A plane-wave DFT calculation with PBE-GGA was carried out for crystalline NiGe2 at its relaxed geometry.

Calculated values
DOS(E_F) (states/eV/atom): 0.397
E_form (meV/atom): -167
Symmetry: Cmce, No. 64

Lattice parameters (Å, degrees): 6.205 6.205 5.785 90.00 90.00 55.98
Fractional coordinates of all 12 atoms:
Ni (0.115, 0.115, 0.000)
Ni (0.385, 0.385, 0.500)
Ni (0.615, 0.615, 0.500)
Ni (0.885, 0.885, 0.000)
Ge (0.002, 0.498, 0.250)
Ge (0.155, 0.845, 0.657)
Ge (0.345, 0.655, 0.157)
Ge (0.498, 0.002, 0.750)
Ge (0.502, 0.998, 0.250)
Ge (0.655, 0.345, 0.843)
Ge (0.845, 0.155, 0.343)
Ge (0.998, 0.502, 0.750)

=====

A plane-wave DFT calculation with PBE-GGA was carried out for crystalline Ac2Nb2N5 at its relaxed geometry.

Calculated values
DOS(E_F) (states/eV/atom): 0.175
Energy above the most stable polymorph in this dataset (eV per formula unit): 0.04
Formation energy (no corrections) (eV/atom): -1.130
Symmetry: C2/m, No. 12

Lattice parameters (Å, degrees): 6.247 6.247 6.030 109.20 109.20 40.46
Fractional coordinates of all 9 atoms:
Ac (0.101, 0.101, 0.323)
Ac (0.899, 0.899, 0.677)
Nb (0.341, 0.341, 0.109)
Nb (0.659, 0.659, 0.891)
N (0.154, 0.154, 0.921)
N (0.340, 0.340, 0.423)
N (0.500, 0.500, 0.000)
N (0.660, 0.660, 0.577)
N (0.846, 0.846, 0.079)

=====

A plane-wave DFT calculation with PBE-GGA was carried out for crystalline NpAl3Au2 at its relaxed geometry.

Calculated values
DOS(E_F) (states/eV/atom): 1.758
E_form (meV/atom): -311
Symmetry: C2/m, No. 12

Lattice parameters (Å, degrees): 8.677 8.677 10.185 104.49 104.49 28.22
Fractional coordinates of all 18 atoms:
Np (0.000, 0.000, 0.000)
Np (0.157, 0.157, 0.703)
Np (0.843, 0.843, 0.297)
Al (0.042, 0.042, 0.359)
Al (0.212, 0.212, 0.375)
Al (0.333, 0.333, 0.043)
Al (0.374, 0.374, 0.804)
Al (0.500, 0.500, 0.500)
Al (0.626, 0.626, 0.196)
Al (0.667, 0.667, 0.957)
Al (0.788, 0.788, 0.625)
Al (0.958, 0.958, 0.641)
Au (0.197, 0.197, 0.116)
Au (0.352, 0.352, 0.539)
Au (0.473, 0.473, 0.219)
Au (0.527, 0.527, 0.781)
Au (0.648, 0.648, 0.461)
Au (0.803, 0.803, 0.884)

=====

A plane-wave DFT calculation with PBE-GGA was carried out for crystalline Hf2Si3Ni5 at its relaxed geometry.

Calculated values
DOS(E_F) (states/eV/atom): 0.577
Formation energy (no corrections) (eV/atom): -0.685
Symmetry: Cmc2_1, No. 36

Lattice parameters (Å, degrees): 11.261 11.261 6.192 90.00 90.00 160.11
Fractional coordinates of all 20 atoms:
Hf (0.016, 0.984, 0.500)
Hf (0.323, 0.677, 0.516)
Hf (0.677, 0.323, 0.016)
Hf (0.984, 0.016, 0.000)
Si (0.107, 0.893, 0.210)
Si (0.274, 0.726, 0.055)
Si (0.447, 0.553, 0.290)
Si (0.553, 0.447, 0.790)
Si (0.726, 0.274, 0.555)
Si (0.893, 0.107, 0.710)
Ni (0.108, 0.892, 0.813)
Ni (0.205, 0.795, 0.346)
Ni (0.218, 0.782, 0.750)
Ni (0.377, 0.623, 0.994)
Ni (0.449, 0.551, 0.682)
Ni (0.551, 0.449, 0.182)
Ni (0.623, 0.377, 0.494)
Ni (0.782, 0.218, 0.250)
Ni (0.795, 0.205, 0.846)
Ni (0.892, 0.108, 0.313)

=====

A plane-wave DFT calculation with PBE-GGA was carried out for crystalline Gd2TeAs at its relaxed geometry.

Calculated values
DOS(E_F) (states/eV/atom): 0.913
Formation energy (no corrections) (eV/atom): -1.537
Symmetry: R-3m, No. 166

Lattice parameters (Å, degrees): 7.530 7.530 7.530 32.79 32.79 32.79
Fractional coordinates of all 4 atoms:
Gd (0.240, 0.240, 0.240)
Gd (0.760, 0.760, 0.760)
Te (0.000, 0.000, 0.000)
As (0.500, 0.500, 0.500)

=====

A plane-wave DFT calculation with PBE-GGA was carried out for crystalline Ho4MgIr5 at its relaxed geometry.

Calculated values
DOS(E_F) (states/eV/atom): 0.523
E_form (meV/atom): -729
Symmetry: P4/mmm, No. 123

Lattice parameters (Å, degrees): 3.387 3.387 16.519 90.00 90.00 90.00
Fractional coordinates of all 10 atoms:
Ho (0.000, 0.000, 0.104)
Ho (0.000, 0.000, 0.311)
Ho (0.000, 0.000, 0.689)
Ho (0.000, 0.000, 0.896)
Mg (0.000, 0.000, 0.500)
Ir (0.500, 0.500, 0.000)
Ir (0.500, 0.500, 0.206)
Ir (0.500, 0.500, 0.412)
Ir (0.500, 0.500, 0.588)
Ir (0.500, 0.500, 0.794)

=====

A plane-wave DFT calculation with PBE-GGA was carried out for crystalline TbSc3Ru3 at its relaxed geometry.

Calculated values
DOS(E_F) (states/eV/atom): 0.545
E_form (meV/atom): -449
Symmetry: R3m, No. 160

Lattice parameters (Å, degrees): 5.632 5.632 5.632 110.04 110.04 110.04
Fractional coordinates of all 7 atoms:
Tb (0.000, 0.000, 0.000)
Sc (0.409, 0.409, 0.825)
Sc (0.409, 0.825, 0.409)
Sc (0.825, 0.409, 0.409)
Ru (0.409, 0.903, 0.903)
Ru (0.903, 0.409, 0.903)
Ru (0.903, 0.903, 0.409)

=====

A plane-wave DFT calculation with PBE-GGA was carried out for crystalline LaAlIn at its relaxed geometry.

Calculated values
DOS(E_F) (states/eV/atom): 0.569
E_form (meV/atom): -471
Symmetry: Immm, No. 71

Lattice parameters (Å, degrees): 6.217 6.217 6.217 134.54 101.79 95.41
Fractional coordinates of all 6 atoms:
La (0.249, 0.000, 0.249)
La (0.751, 0.000, 0.751)
Al (0.342, 0.342, 0.000)
Al (0.658, 0.658, 0.000)
In (0.174, 0.674, 0.500)
In (0.826, 0.326, 0.500)